# 1
Sc3NbCo GGA-PBE relaxed; V = 21.64 Å³ per atom; total magnetic moment = 1.5 μB per formula unit; relative energy among the computed polymorphs = 0.0000 eV per atom; formation energy = 0.29 eV/atom; DFT total energy = -6.9424 eV per atom
1.0
4.765 0.000 0.000
0.000 4.765 0.000
0.000 0.000 4.765
Sc Nb Co
3 1 1
Direct
0.000 0.500 0.000 Sc
0.000 0.000 0.500 Sc
0.500 0.000 0.000 Sc
0.500 0.500 0.500 Nb
0.000 0.000 0.000 Co

=====

# 2
CeMg3Pt4 GGA-PBE relaxed; V = 18.03 Å³ per atom; total magnetic moment = 0.2 μB per formula unit; formation energy = -0.84 eV/atom; DFT total energy = -5.1996 eV per atom
1.0
5.395 0.000 -1.907
-2.698 4.672 -1.907
0.000 0.000 5.722
Mg Pt Ce
3 4 1
Direct
0.000 0.500 0.500 Mg
0.500 0.000 0.500 Mg
0.500 0.500 0.000 Mg
0.000 0.000 0.500 Pt
0.500 0.500 0.500 Pt
0.500 0.000 0.000 Pt
0.000 0.500 0.000 Pt
0.000 0.000 0.000 Ce

=====

# 3
LiCaIN2 GGA-PBE relaxed; V = 19.36 Å³ per atom; total magnetic moment = 4.0 μB per formula unit; relative energy among the computed polymorphs = 0.1081 eV per atom; DFT total energy = -3.6332 eV per atom; formation energy without anion corrections = 0.790 eV/atom
1.0
4.389 0.000 0.000
0.000 4.389 0.000
0.000 0.000 5.023
I Ca Li N
1 1 1 2
Direct
0.000 0.000 0.500 I
0.500 0.500 0.500 Ca
0.000 0.000 0.000 Li
0.000 0.500 0.000 N
0.500 0.000 0.000 N

=====

# 4
ZnInTe2 GGA-PBE relaxed; V = 27.80 Å³ per atom; total magnetic moment = 0.0 μB per formula unit; DFT total energy = -2.6570 eV per atom; formation energy without anion corrections = -0.083 eV/atom
1.0
7.651 -0.007 0.006
5.616 5.197 -0.006
-6.632 -2.598 2.794
In Te Zn
1 2 1
Direct
0.295 0.795 0.500 In
0.970 0.970 0.000 Te
0.700 0.200 0.500 Te
0.535 0.535 0.000 Zn